(1)
8
Lattice="3.508 0.000 0.000 0.000 5.003 0.000 0.000 0.000 9.402" Properties=species:S:1:pos:R:3 comment="GGA-PBE Sc2InTc, relaxed" ef_mev_per_atom=89.5 pbc="T T T"
Sc 0.000 0.000 0.000
Sc 0.000 2.502 2.731
Sc 1.754 0.000 2.731
Sc 1.754 2.502 0.000
In 0.000 0.000 5.260
In 1.754 2.502 5.260
Tc 0.000 2.502 7.421
Tc 1.754 0.000 7.421



(2)
5
Lattice="5.310 0.000 0.000 0.000 5.310 0.000 0.000 0.000 4.182" Properties=species:S:1:pos:R:3 comment="GGA-PBE SnBiP2O, relaxed" formation_energy_uncorrected_ev_per_atom=0.50 relative_energy_mev_per_atom=313 pbc="T T T"
Sn 0.000 0.000 0.000
Bi 2.655 2.655 2.091
P 0.000 2.655 2.091
P 2.655 0.000 2.091
O 2.655 2.655 0.000



(3)
8
Lattice="3.314 0.000 0.000 0.000 3.314 0.000 0.000 0.000 10.940" Properties=species:S:1:pos:R:3 comment="GGA-PBE InO, relaxed" formation_energy_uncorrected_ev_per_atom=-1.20 pbc="T T T"
In 0.000 0.000 1.405
In 0.000 0.000 9.535
In 1.657 1.657 4.065
In 1.657 1.657 6.875
O 0.000 0.000 3.597
O 0.000 0.000 7.343
O 1.657 1.657 1.873
O 1.657 1.657 9.067



(4)
10
Lattice="6.745 0.000 0.000 3.367 5.846 0.000 3.369 -1.934 8.377" Properties=species:S:1:pos:R:3 comment="GGA-PBE CsLi2NdCl6, relaxed" formation_energy_uncorrected_ev_per_atom=-2.04 pbc="T T T"
Cs 0.000 0.000 0.000
Li 6.746 3.903 4.041
Li 6.739 0.007 4.334
Nd 3.368 1.958 4.187
Cl 4.539 3.975 2.733
Cl 5.697 1.952 5.646
Cl 4.531 -0.061 2.729
Cl 8.950 3.978 5.645
Cl 7.789 1.967 2.723
Cl 8.942 -0.051 5.649



no.,total magnetic moment (Bohr magnetons per cell),DFT total energy (eV per cell)
1,0.0,-50.82
2,0.0,-21.17
3,0.0,-40.39
4,0.0,-40.97